## CdHg8Pb2 (PBE)

Data for an optimized crystal structure of CdHg8Pb2.

Computed properties:
Density = 11427 kg/m³
Energy above the most stable polymorph in this dataset = 0.002 eV/atom
Calculated volume = 619.5 Å³ per cell
Calculated formation energy = 0.040 eV/atom
Electronic total energy = -0.9369 eV/atom

Cell lengths 15.3363, 6.2204, 6.5151 Å; angles 90.00, 94.63, 90.00 degrees
Closest atoms and distances in Å follow each position.
Space group C2/m (No. 12)
Inequivalent atoms, fractional coordinates:
Cd  0.0000  0.0000  0.0000  6 Hg 3.01-3.12
Hg  0.0738  0.2533  0.3669  4 Hg 2.96-3.23, 1 Cd 3.01, 2 Pb 3.25-3.28
Hg  0.1012  0.5000  0.9404  1 Pb 3.15, 6 Hg 3.23-3.45, 2 Cd 3.51
Hg  0.1907  0.0000  0.8647  1 Cd 3.12, 3 Hg 3.34-3.45, 2 Pb 3.35-3.50
Pb  0.2406  0.5000  0.6105  7 Hg 3.15-3.50, 2 Pb 3.45

***

## Sr2CaSb (PBE)

Data for an optimized crystal structure of Sr2CaSb.

Computed properties:
Density = 3783 kg/m³
Calculated volume = 295.9 Å³ per cell
Energy relative to the elements, uncorrected = -0.402 eV per atom
Electronic total energy = -2.7737 eV/atom

Cell lengths 5.0810, 5.0810, 11.4621 Å; angles 90.00, 90.00, 90.00 degrees
Closest atoms and distances in Å follow each position.
Space group I-4m2 (No. 119)
Inequivalent atoms, fractional coordinates:
Sr  0.0000  0.0000  0.0000  4 Sb 3.59, 4 Ca 3.83, 4 Sr 3.83
Sr  0.0000  0.5000  0.2500  4 Ca 3.59, 4 Sb 3.83, 4 Sr 3.83
Ca  0.0000  0.5000  0.7500  8 Sr 3.59-3.83, 4 Sb 3.83
Sb  0.0000  0.0000  0.5000  8 Sr 3.59-3.83, 4 Ca 3.83